A plane-wave DFT calculation with GGA-PBE was carried out for crystalline PmPaAu2O8 at its relaxed geometry.

Summary:
Magnetic moment in Bohr magnetons per cell: 1.747
Calculated volume in Å³ per cell: 186.5
Formation energy (no corrections) in eV per formula unit: -17.5
Total DFT energy (no corrections) in eV/atom: -6.497

a b c (Å): 6.233 6.233 6.233
angles (deg): 109.55 109.55 109.32
Each line ends with the local moment (μB).
Positions (direct):
Pm  0.000  0.000  0.000  -0.01
Pa  0.250  0.750  0.500  0.11
Au  0.750  0.250  0.500  0.05
Au  0.500  0.500  0.000  0.56
O  0.363  0.031  0.332  0.03
O  0.281  0.472  0.192  0.19
O  0.281  0.089  0.808  0.19
O  0.699  0.031  0.668  0.03
O  0.911  0.719  0.192  0.19
O  0.969  0.301  0.332  0.03
O  0.969  0.637  0.668  0.03
O  0.528  0.719  0.808  0.19

=====

A plane-wave DFT calculation with GGA-PBE was carried out for crystalline PmPaAuO6 at its relaxed geometry.

Summary:
Magnetic moment in Bohr magnetons per cell: 0.941
Calculated volume in Å³ per cell: 133.0
Formation energy (no corrections) in eV per formula unit: -19.4
Total DFT energy (no corrections) in eV/atom: -7.408

a b c (Å): 4.969 5.559 5.559
angles (deg): 120.00 90.00 90.00
Each line ends with the local moment (μB).
Positions (direct):
Pm  0.500  0.667  0.333  -0.01
Pa  0.000  0.333  0.667  0.11
Au  0.500  0.000  0.000  0.35
O  0.746  0.666  0.693  0.07
O  0.746  0.307  0.973  0.07
O  0.746  0.027  0.334  0.07
O  0.254  0.307  0.334  0.07
O  0.254  0.666  0.973  0.07
O  0.254  0.027  0.693  0.07

=====

A plane-wave DFT calculation with GGA-PBE was carried out for crystalline PrPaAu2O8 at its relaxed geometry.

Summary:
Magnetic moment in Bohr magnetons per cell: 1.830
Calculated volume in Å³ per cell: 189.9
Formation energy (no corrections) in eV per formula unit: -17.3
Total DFT energy (no corrections) in eV/atom: -6.482

a b c (Å): 6.271 6.271 6.271
angles (deg): 109.43 109.43 109.56
Each line ends with the local moment (μB).
Positions (direct):
Pr  0.250  0.750  0.500  -0.01
Pa  0.000  0.000  0.000  0.12
Au  0.750  0.250  0.500  0.60
Au  0.500  0.500  0.000  0.04
O  0.339  0.034  0.305  0.21
O  0.282  0.448  0.166  0.02
O  0.282  0.116  0.834  0.02
O  0.728  0.034  0.695  0.21
O  0.884  0.718  0.166  0.02
O  0.966  0.272  0.305  0.21
O  0.966  0.661  0.695  0.21
O  0.552  0.718  0.834  0.02

=====

A plane-wave DFT calculation with GGA-PBE was carried out for crystalline PaPtAuO6 at its relaxed geometry.

Summary:
Magnetic moment in Bohr magnetons per cell: 0.000
Calculated volume in Å³ per cell: 244.0
Formation energy (no corrections) in eV per formula unit: -12.5
Total DFT energy (no corrections) in eV/atom: -6.785

a b c (Å): 5.456 5.456 9.464
angles (deg): 90.00 90.00 120.00
Positions (direct):
Pa  0.333  0.667  0.250
Pa  0.667  0.333  0.750
Pt  0.667  0.333  0.250
Pt  0.333  0.667  0.750
Au  0.000  0.000  0.000
Au  0.000  0.000  0.500
O  0.661  0.642  0.130
O  0.981  0.339  0.130
O  0.339  0.981  0.630
O  0.019  0.661  0.870
O  0.358  0.339  0.370
O  0.981  0.642  0.370
O  0.642  0.981  0.870
O  0.661  0.019  0.370
O  0.019  0.358  0.630
O  0.358  0.019  0.130
O  0.642  0.661  0.630
O  0.339  0.358  0.870

=====

A plane-wave DFT calculation with GGA-PBE was carried out for crystalline PuPaAuO6 at its relaxed geometry.

Summary:
Magnetic moment in Bohr magnetons per cell: 4.000
Calculated volume in Å³ per cell: 285.2
Formation energy (no corrections) in eV per formula unit: -20.2
Total DFT energy (no corrections) in eV/atom: -8.557

a b c (Å): 5.917 5.917 9.406
angles (deg): 90.00 90.00 120.00
Each line ends with the local moment (μB).
Positions (direct):
Pu  0.667  0.333  0.250  2.65
Pu  0.333  0.667  0.750  2.65
Pa  0.333  0.667  0.250  -0.01
Pa  0.667  0.333  0.750  -0.01
Au  0.000  0.000  0.000  -0.13
Au  0.000  0.000  0.500  -0.13
O  0.639  0.627  0.141  -0.08
O  0.988  0.361  0.141  -0.08
O  0.361  0.988  0.641  -0.08
O  0.012  0.639  0.859  -0.08
O  0.373  0.361  0.359  -0.08
O  0.988  0.627  0.359  -0.08
O  0.627  0.988  0.859  -0.08
O  0.639  0.012  0.359  -0.08
O  0.012  0.373  0.641  -0.08
O  0.373  0.012  0.141  -0.08
O  0.627  0.639  0.641  -0.08
O  0.361  0.373  0.859  -0.08

=====

A plane-wave DFT calculation with GGA-PBE was carried out for crystalline RbPaAu2O6 at its relaxed geometry.

Summary:
Magnetic moment in Bohr magnetons per cell: 0.000
Calculated volume in Å³ per cell: 198.9
Formation energy (no corrections) in eV per formula unit: -12.4
Total DFT energy (no corrections) in eV/atom: -5.914

a b c (Å): 6.134 6.134 7.057
angles (deg): 64.24 64.24 60.00
Positions (direct):
Rb  0.000  0.000  0.000
Pa  0.500  0.500  0.500
Au  0.766  0.766  0.701
Au  0.234  0.234  0.299
O  0.124  0.481  0.707
O  0.689  0.124  0.707
O  0.519  0.311  0.293
O  0.876  0.519  0.293
O  0.311  0.876  0.293
O  0.481  0.689  0.707

=====

A plane-wave DFT calculation with GGA-PBE was carried out for crystalline RbPa2AuO8 at its relaxed geometry.

Summary:
Magnetic moment in Bohr magnetons per cell: 0.000
Calculated volume in Å³ per cell: 194.9
Formation energy (no corrections) in eV per formula unit: -25.0
Total DFT energy (no corrections) in eV/atom: -7.324

a b c (Å): 5.207 5.206 7.258
angles (deg): 85.37 85.39 85.13
Positions (direct):
Rb  0.000  0.000  0.500
Pa  0.477  0.477  0.749
Pa  0.523  0.523  0.251
Au  0.000  0.000  0.000
O  0.200  0.772  0.192
O  0.727  0.728  0.026
O  0.773  0.200  0.192
O  0.800  0.228  0.808
O  0.273  0.272  0.974
O  0.227  0.800  0.808
O  0.658  0.660  0.498
O  0.342  0.340  0.502

=====

A plane-wave DFT calculation with GGA-PBE was carried out for crystalline PaAuS2O8 at its relaxed geometry.

Summary:
Magnetic moment in Bohr magnetons per cell: 1.209
Calculated volume in Å³ per cell: 172.2
Formation energy (no corrections) in eV per formula unit: -18.2
Total DFT energy (no corrections) in eV/atom: -6.574

a b c (Å): 6.243 6.243 6.248
angles (deg): 60.03 60.03 60.00
Each line ends with the local moment (μB).
Positions (direct):
Pa  0.500  0.500  0.500  0.66
Au  0.000  0.000  0.000  0.25
S  0.750  0.750  0.750  0.00
S  0.250  0.250  0.250  0.00
O  0.653  0.653  0.040  0.00
O  0.347  0.347  0.960  0.00
O  0.347  0.347  0.346  0.00
O  0.653  0.653  0.654  0.00
O  0.040  0.653  0.654  0.00
O  0.347  0.960  0.346  0.00
O  0.960  0.347  0.346  0.00
O  0.653  0.040  0.654  0.00